Material: Pu2Si3Ir5
Method: DFT, PBE-GGA
State: relaxed

CIF file:
```
data_Pu2Si3Ir5
_cell_length_a 4.0459
_cell_length_b 24.3458
_cell_length_c 6.8943
_cell_angle_alpha 90.00
_cell_angle_beta 90.00
_cell_angle_gamma 90.00
_symmetry_space_group_name_H-M 'C m c 21'
_symmetry_Int_Tables_number 36
_symmetry_space_group_name_Hall 'C 2c -2'
loop_
_atom_site_label
_atom_site_type_symbol
_atom_site_fract_x
_atom_site_fract_y
_atom_site_fract_z
Pu1 Pu 0.0000 0.0190 0.0000
Pu2 Pu 0.0000 0.3430 0.4722
Si1 Si 0.0000 0.1101 0.3240
Si2 Si 0.0000 0.2556 0.9769
Si3 Si 0.0000 0.4479 0.1885
Ir1 Ir 0.0000 0.1020 0.7023
Ir2 Ir 0.0000 0.2090 0.2751
Ir3 Ir 0.0000 0.2131 0.6743
Ir4 Ir 0.0000 0.3518 0.9798
Ir5 Ir 0.0000 0.4521 0.7900
```

As for the uncorrected formation energy: -0.6973 eV per atom. Its size of the total moment is 9.4 μB per formula unit.